The following is a PBE calculation of LiY2ReAu after structural relaxation, from the Alexandria database.

Output
Calculated volume (A^3/atom): 29.243
VASP energy (hartree per atom): -0.2103
DOS at the Fermi energy (states/eV per atom): 0.643
Symmetry: No. 123

Cell: 5.313 5.180 5.313 Å, 90.00 90.00 90.00°
Atoms (fractional coordinates):
Re  0.000  0.000  0.000
Li  0.500  0.500  0.500
Y  0.000  0.000  0.500
Y  0.500  0.000  0.000
Au  0.000  0.500  0.000